Entry 1:
Pm5TlAu2 | PBE-GGA | optimized geometry

Output
Magnetic moment (μB per cell): 0.000

abc: 8.3274 8.3274 13.3638
angles: 90.00 90.00 90.00
Closest atoms and distances in Å follow each position.
Space group I4/mcm (No. 140)
Asymmetric unit:
Pm: 0.0000 0.0000 0.0000 [4 per cell]  4 Au 3.24, 2 Tl 3.34
Pm: 0.1556 0.3444 0.1442 [16 per cell]  3 Au 3.10-3.13, 2 Tl 3.45
Tl: 0.0000 0.0000 0.2500 [4 per cell]  10 Pm 3.34-3.45
Au: 0.1351 0.3649 0.5000 [8 per cell]  8 Pm 3.10-3.24, 1 Au 3.18


Entry 2:
Pm4Tl3Au | PBE-GGA | optimized geometry

Output
Magnetic moment (μB per cell): 0.000

abc: 3.7032 3.7032 16.4669
angles: 90.00 90.00 90.00
Closest atoms and distances in Å follow each position.
Space group P4/mmm (No. 123)
Asymmetric unit:
Pm: 0.0000 0.0000 0.1100 [2 per cell]  4 Au 3.18, 4 Tl 3.40
Pm: 0.0000 0.0000 0.3703 [2 per cell]  8 Tl 3.37-3.38, 4 Pm 3.70
Tl: 0.5000 0.5000 0.2412 [2 per cell]  8 Pm 3.37-3.40, 4 Tl 3.70
Tl: 0.5000 0.5000 0.5000 [1 per cell]  8 Pm 3.38, 4 Tl 3.70
Au: 0.5000 0.5000 0.0000 [1 per cell]  8 Pm 3.18


| no. | formation energy from the elements (eV per atom) |
| --- | --- |
| 1 | -0.51 |
| 2 | -0.48 |